1.
A relaxed LaCd2Ru crystal, computed with PBE-GGA.

Cell: 5.5489 5.5489 5.5489 Å, 139.48 121.60 73.49°
Fractional coordinates of all 4 atoms:
La  0.4579  0.4579  0.0000
Cd  0.0281  0.0281  0.0000
Cd  0.7551  0.2551  0.5000
Ru  0.2589  0.7589  0.5000

Output
- Raw total energy: -15.80 eV for the cell shown
- Symmetry: No. 44
- D(E_F): 3.7 states/eV/f.u.

---

2.
A relaxed La5Cd2Ru2 crystal, computed with PBE-GGA.

Cell: 7.8223 7.9638 9.3011 Å, 90.00 65.13 90.00°
Fractional coordinates of all 18 atoms:
La  0.7816  0.8315  0.7715
Cd  0.2818  0.5000  0.4365
La  0.0532  0.6685  0.2285
La  0.0000  0.0000  0.0000
Ru  0.3605  0.8610  0.0000
La  0.9468  0.3315  0.7715
Ru  0.8605  0.6390  0.0000
La  0.2184  0.1685  0.2285
Ru  0.1395  0.3610  0.0000
La  0.2816  0.6685  0.7715
Ru  0.6395  0.1390  0.0000
La  0.5532  0.8315  0.2285
Cd  0.7182  0.5000  0.5635
Cd  0.2182  0.0000  0.5635
Cd  0.7818  0.0000  0.4365
La  0.7184  0.3315  0.2285
La  0.4468  0.1685  0.7715
La  0.5000  0.5000  0.0000

Output
- Raw total energy: -95.16 eV for the cell shown
- Symmetry: No. 64
- D(E_F): 7.4 states/eV/f.u.

---

3.
A relaxed LaCd2Ru crystal, computed with PBE-GGA.

Cell: 3.4748 3.4748 7.6179 Å, 90.00 90.00 90.00°
Fractional coordinates of all 4 atoms:
Ru  0.5000  0.5000  0.7738
La  0.0000  0.0000  0.5496
Cd  0.5000  0.5000  0.2056
Cd  0.0000  0.0000  0.9710

Output
- Raw total energy: -16.17 eV for the cell shown
- Symmetry: No. 99
- D(E_F): 2.2 states/eV/f.u.

---

4.
A relaxed La6Cd2Ru crystal, computed with PBE-GGA.

Cell: 7.6473 7.4625 10.4924 Å, 89.95 90.64 90.07°
Fractional coordinates of all 18 atoms:
La  0.4228  0.4980  0.7439
La  0.2410  0.2669  0.4589
Ru  0.0000  0.0000  0.5000
La  0.9228  0.0004  0.2438
Cd  0.5023  0.9860  0.7413
La  0.5772  0.5020  0.2561
La  0.2603  0.7678  0.0403
La  0.2631  0.7546  0.4611
La  0.7397  0.2322  0.9597
La  0.2357  0.2556  0.0397
La  0.7590  0.7331  0.5411
Cd  0.9977  0.4857  0.7584
Cd  0.4977  0.0140  0.2587
La  0.7369  0.2454  0.5389
Ru  0.5000  0.5000  0.0000
La  0.7643  0.7444  0.9603
La  0.0772  0.9996  0.7562
Cd  0.0023  0.5143  0.2416

Output
- Symmetry: No. 2
- D(E_F): 10.2 states/eV/f.u.
- Energy above the lowest structure with this stoichiometry: 36 meV per atom